# 1
A plane-wave DFT calculation with PBE was carried out for crystalline Te2HW2 at its relaxed geometry.

Properties
VASP energy: -6.14 eV per atom
Symmetry: No. 127
Energy above the lowest structure with this stoichiometry: 116 meV/atom

Cell and atoms, written as POSCAR:
```
Te2HW2
1.0
6.303 0.000 0.000
0.000 6.303 0.000
0.000 0.000 4.368
Te H W
4 2 4
direct
0.169 0.331 0.000
0.331 0.831 0.000
0.669 0.169 0.000
0.831 0.669 0.000
0.000 0.000 0.500
0.500 0.500 0.500
0.157 0.657 0.500
0.343 0.157 0.500
0.657 0.843 0.500
0.843 0.343 0.500
```

# 2
A plane-wave DFT calculation with PBE was carried out for crystalline TeHW3 at its relaxed geometry.

Properties
VASP energy: -5.75 eV per atom
Symmetry: No. 221
Energy above the lowest structure with this stoichiometry: 2445 meV/atom

Cell and atoms, written as POSCAR:
```
TeHW3
1.0
4.916 0.000 0.000
0.000 4.916 0.000
0.000 0.000 4.916
Te H W
1 1 3
direct
0.000 0.000 0.000
0.500 0.500 0.500
0.000 0.000 0.500
0.000 0.500 0.000
0.500 0.000 0.000
```

# 3
A plane-wave DFT calculation with PBE was carried out for crystalline Te3HW at its relaxed geometry.

Properties
VASP energy: -4.23 eV per atom
Symmetry: No. 221
Energy above the lowest structure with this stoichiometry: 0 meV/atom

Cell and atoms, written as POSCAR:
```
Te3HW
1.0
5.348 0.000 0.000
0.000 5.348 0.000
0.000 0.000 5.348
Te H W
3 1 1
direct
0.000 0.000 0.500
0.000 0.500 0.000
0.500 0.000 0.000
0.500 0.500 0.500
0.000 0.000 0.000
```